1.
DFT (PBE) results for OsRu2Pt after structural relaxation.

Calculated values
Energy relative to the lowest polymorph listed for this composition: 0.22 eV per formula unit
Size of the total moment: 0.0 μB per cell
Crystal system: trigonal
Space-group type: R3m, No. 160
Fermi-level density of states: 2.8 states/eV per cell
ΔE_f: 0.098 eV/atom

a = 9.1320 Å, b = 9.1320 Å, c = 9.1320 Å
α = 17.17°, β = 17.17°, γ = 17.17°
Last column: nearest neighbours and their distance in Å.
Atoms (fractional coordinates):
1 Os 0.5039 0.5039 0.5039  3 Ru 2.66, 6 Os 2.73, 3 Pt 2.83
2 Pt 0.7498 0.7498 0.7498  6 Pt 2.73, 3 Ru 2.82, 3 Os 2.83
3 Ru 0.9963 0.9963 0.9963  9 Ru 2.66-2.73, 3 Pt 2.82
4 Ru 0.2501 0.2501 0.2501  3 Os 2.66, 9 Ru 2.66-2.73


2.
DFT (PBE) results for OsRu2Pt after structural relaxation.

Calculated values
Energy relative to the lowest polymorph listed for this composition: 0.00 eV per formula unit
Size of the total moment: 0.0 μB per cell
Crystal system: tetragonal
Space-group type: P4/mmm, No. 123
Fermi-level density of states: 5.6 states/eV per cell
ΔE_f: 0.044 eV/atom

a = 2.7265 Å, b = 2.7265 Å, c = 7.7704 Å
α = 90.00°, β = 90.00°, γ = 90.00°
Last column: nearest neighbours and their distance in Å.
Atoms (fractional coordinates):
1 Ru 0.0000 0.0000 0.0094  4 Os 2.69, 4 Ru 2.73, 4 Pt 2.79
2 Ru 0.0000 0.0000 0.4906  4 Os 2.69, 4 Ru 2.73, 4 Pt 2.79
3 Os 0.5000 0.5000 0.2500  8 Ru 2.69, 4 Os 2.73
4 Pt 0.5000 0.5000 0.7500  4 Pt 2.73, 8 Ru 2.79